No. 1
A relaxed Ac2HoTc2N6 crystal, computed with PBE.

Lattice parameters (Å, degrees): 5.8620 5.8620 18.4527 90.00 90.00 120.00
Space group R-3m (No. 166, hexagonal axes)
Asymmetric unit:
Ac 0.0000 0.0000 0.2117 x6
Ho 0.0000 0.0000 0.0000 x3
Tc 0.0000 0.0000 0.3995 x6
N 0.0079 0.5040 0.7601 x18

Values from the calculation:
Spin magnetization   0.00 μB/atom
Formation energy without anion corrections   -0.71 eV/atom
DOS at the Fermi energy   10.79 states/eV per cell
VASP energy   -8.301 eV per atom
Crystal system   trigonal

---

No. 2
A relaxed AcHoTh2N4 crystal, computed with PBE.

Lattice parameters (Å, degrees): 6.334 3.679 6.407 90.00 109.47 90.00
Space group P2/m (No. 10)
Asymmetric unit:
Ac 0.000 0.000 0.000 x1
Ho 0.000 0.500 0.500 x1
Th 0.500 0.000 0.500 x1
Th 0.500 0.500 0.000 x1
N 0.258 0.000 0.740 x2
N 0.271 0.500 0.271 x2

Values from the calculation:
Spin magnetization   0.00 μB/atom
Formation energy without anion corrections   -1.44 eV/atom
DOS at the Fermi energy   3.19 states/eV per cell
VASP energy   -8.543 eV per atom
Crystal system   monoclinic

---

No. 3
A relaxed AcHoTiN3 crystal, computed with PBE.

Lattice parameters (Å, degrees): 7.515 3.625 7.863 90.00 102.06 90.00
Space group P2_1/m (No. 11)
Asymmetric unit:
Ac 0.187 0.250 0.191 x2
Ho 0.360 0.750 0.849 x2
Ti 0.102 0.250 0.602 x2
N 0.116 0.250 0.849 x2
N 0.167 0.750 0.526 x2
N 0.423 0.750 0.142 x2

Values from the calculation:
Spin magnetization   0.00 μB/atom
Formation energy without anion corrections   -1.29 eV/atom
DOS at the Fermi energy   2.70 states/eV per cell
VASP energy   -8.212 eV per atom
Crystal system   monoclinic

---

No. 4
A relaxed Ac3Ho2UN6 crystal, computed with PBE.

Lattice parameters (Å, degrees): 6.217 10.738 6.492 90.00 108.56 90.00
Space group C2/m (No. 12)
Asymmetric unit:
Ac 0.000 0.000 0.000 x2
Ac 0.000 0.331 0.000 x4
Ho 0.000 0.166 0.500 x4
U 0.000 0.500 0.500 x2
N 0.221 0.346 0.701 x8
N 0.241 0.500 0.293 x4

Values from the calculation:
Spin magnetization   0.00 μB/atom
Formation energy without anion corrections   -1.34 eV/atom
DOS at the Fermi energy   10.48 states/eV per cell
VASP energy   -8.235 eV per atom
Crystal system   monoclinic

---

No. 5
A relaxed AcHoW2N6 crystal, computed with PBE.

Lattice parameters (Å, degrees): 10.808 10.040 6.180 90.00 106.81 90.00
Space group C2/c (No. 15)
Asymmetric unit:
Ac 0.000 0.190 0.250 x4
Ho 0.000 0.413 0.750 x4
W 0.213 0.091 0.776 x8
N 0.108 0.401 0.137 x8
N 0.140 0.250 0.679 x8
N 0.147 0.019 0.013 x8

Values from the calculation:
Spin magnetization   0.00 μB/atom
Formation energy without anion corrections   -1.04 eV/atom
DOS at the Fermi energy   0.00 states/eV per cell
VASP energy   -9.494 eV per atom
Crystal system   monoclinic

---

No. 6
A relaxed AcHoZrN3 crystal, computed with PBE.

Lattice parameters (Å, degrees): 6.837 3.485 9.874 90.00 95.31 90.00
Space group P2_1/m (No. 11)
Asymmetric unit:
Ac 0.175 0.250 0.220 x2
Ho 0.357 0.750 0.882 x2
Zr 0.169 0.250 0.580 x2
N 0.147 0.250 0.792 x2
N 0.152 0.750 0.454 x2
N 0.382 0.750 0.110 x2

Values from the calculation:
Spin magnetization   0.00 μB/atom
Formation energy without anion corrections   -1.20 eV/atom
DOS at the Fermi energy   4.93 states/eV per cell
VASP energy   -8.239 eV per atom
Crystal system   monoclinic

---

The highest formation energy without anion corrections belongs to which entry? Ac2HoTc2N6